This record from Alexandria via LeMat-Bulk describes PmPu2CoN4 after structural relaxation. The functional is GGA-PBE.

The structure in POSCAR format:
```
PmPu2CoN4
1.0
3.427 0.000 0.000
-1.713 5.645 0.000
0.000 0.000 11.395
Pm Pu Co N
2 4 2 8
Direct
0.103 0.206 0.750 Pm
0.897 0.794 0.250 Pm
0.369 0.738 0.556 Pu
0.631 0.262 0.056 Pu
0.631 0.262 0.444 Pu
0.369 0.738 0.944 Pu
0.841 0.683 0.750 Co
0.159 0.317 0.250 Co
0.264 0.527 0.114 N
0.736 0.473 0.614 N
0.736 0.473 0.886 N
0.264 0.527 0.386 N
0.000 0.000 0.500 N
0.000 0.000 0.000 N
0.443 0.887 0.750 N
0.557 0.113 0.250 N
```

space-group type	Cmcm
energy relative to the elements, uncorrected	-101.3	kJ/mol of atoms

This record from Alexandria via LeMat-Bulk describes KV3Au after structural relaxation. The functional is GGA-PBE.

The structure in POSCAR format:
```
KV3Au
1.0
-0.488 -5.113 -0.344
4.284 -0.597 2.791
-2.812 -0.021 4.312
K Au V
1 1 3
Direct
0.500 0.500 0.500 K
0.000 0.000 0.000 Au
0.000 0.500 0.000 V
0.000 0.000 0.500 V
0.500 0.000 0.000 V
```

DFT formation energy	1321	meV/atom
space-group type	Pm-3m

This record from Alexandria via LeMat-Bulk describes Hf8In2Sn3 after structural relaxation. The functional is GGA-PBE.

The structure in POSCAR format:
```
Hf8In2Sn3
1.0
-0.739 5.415 2.023
-4.667 1.287 3.244
3.628 -0.322 10.582
Hf In Sn
8 2 3
Direct
0.723 0.723 0.830 Hf
0.277 0.277 0.170 Hf
0.225 0.720 0.335 Hf
0.720 0.225 0.335 Hf
0.720 0.720 0.335 Hf
0.280 0.775 0.665 Hf
0.775 0.280 0.665 Hf
0.280 0.280 0.665 Hf
0.633 0.633 0.101 In
0.367 0.367 0.899 In
0.000 0.000 0.000 Sn
0.811 0.811 0.568 Sn
0.189 0.189 0.432 Sn
```

DFT formation energy	119	meV/atom
space-group type	R-3m

This record from Alexandria via LeMat-Bulk describes GaCuPb2O6 after structural relaxation. The functional is GGA-PBE.

The structure in POSCAR format:
```
GaCuPb2O6
1.0
-3.809 2.743 -2.892
-0.176 -0.490 -5.489
-4.478 -3.147 -2.345
Ga Cu Pb O
1 1 2 6
Direct
0.322 0.321 0.036 Ga
0.761 0.761 0.717 Cu
0.529 0.529 0.412 Pb
0.016 0.016 0.951 Pb
0.585 0.241 0.216 O
0.241 0.958 0.216 O
0.958 0.585 0.215 O
0.427 0.699 0.751 O
0.699 0.123 0.751 O
0.123 0.427 0.751 O
```

space-group type	R3
energy relative to the elements, uncorrected	-96.7	kJ/mol of atoms

This record from Alexandria via LeMat-Bulk describes BaSr2ReI after structural relaxation. The functional is GGA-PBE.

The structure in POSCAR format:
```
BaSr2ReI
1.0
7.467 0.000 0.000
0.000 6.369 0.000
0.000 0.000 7.467
I Re Ba Sr
1 1 1 2
Direct
0.000 0.500 0.000 I
0.500 0.500 0.500 Re
0.000 0.000 0.000 Ba
0.000 0.000 0.500 Sr
0.500 0.000 0.000 Sr
```

space-group type	P4/mmm
energy relative to the elements, uncorrected	140.5	kJ/mol of atoms

This record from Alexandria via LeMat-Bulk describes TlZn2Re after structural relaxation. The functional is GGA-PBE.

The structure in POSCAR format:
```
TlZn2Re
1.0
9.301 -0.076 -0.045
8.843 2.884 -0.045
8.843 1.368 2.539
Re Tl Zn
1 1 2
Direct
0.250 0.250 0.250 Re
0.750 0.750 0.750 Tl
0.992 0.992 0.992 Zn
0.508 0.508 0.508 Zn
```

DFT formation energy	480	meV/atom
space-group type	R-3m

This record from Alexandria via LeMat-Bulk describes CeErCoAg after structural relaxation. The functional is GGA-PBE.

The structure in POSCAR format:
```
CeErCoAg
1.0
-1.680 -2.354 4.040
2.364 -4.030 1.690
2.562 0.224 4.251
Co Ag Ce Er
1 1 1 1
Direct
0.250 0.250 0.250 Co
0.750 0.750 0.750 Ag
0.500 0.500 0.500 Ce
0.000 0.000 0.000 Er
```

DFT formation energy	-89	meV/atom
space-group type	F-43m

This record from Alexandria via LeMat-Bulk describes Tb8P3Se4Cl after structural relaxation. The functional is GGA-PBE.

The structure in POSCAR format:
```
Tb8P3Se4Cl
1.0
8.095 0.000 0.000
0.000 8.155 0.037
-4.047 -4.043 5.727
Tb P Se Cl
8 3 4 1
Direct
0.254 0.734 0.980 Tb
0.254 0.734 0.508 Tb
0.258 0.273 0.516 Tb
0.726 0.734 0.980 Tb
0.274 0.266 0.020 Tb
0.742 0.727 0.484 Tb
0.746 0.266 0.492 Tb
0.746 0.266 0.020 Tb
0.500 0.500 0.000 P
0.500 0.500 0.500 P
0.000 0.500 0.500 P
0.500 0.000 0.000 Se
0.500 0.000 0.500 Se
0.000 0.000 0.000 Se
0.000 0.000 0.500 Se
0.000 0.500 0.000 Cl
```

space-group type	R-3m
energy relative to the elements, uncorrected	-166.9	kJ/mol of atoms

This record from Alexandria via LeMat-Bulk describes Pm8TcNi2 after structural relaxation. The functional is GGA-PBE.

The structure in POSCAR format:
```
Pm8TcNi2
1.0
5.908 0.049 -0.999
-1.990 6.810 -3.109
-0.095 -0.345 7.737
Pm Tc Ni
8 1 2
Direct
0.584 0.339 0.089 Pm
0.584 0.089 0.339 Pm
0.172 0.368 0.368 Pm
0.993 0.208 0.788 Pm
0.993 0.788 0.208 Pm
0.825 0.644 0.644 Pm
0.395 0.914 0.662 Pm
0.395 0.662 0.914 Pm
0.065 0.014 0.014 Tc
0.497 0.706 0.302 Ni
0.497 0.302 0.706 Ni
```

DFT formation energy	-16	meV/atom
space-group type	Cm

This record from Alexandria via LeMat-Bulk describes YIn2BiPd after structural relaxation. The functional is GGA-PBE.

The structure in POSCAR format:
```
YIn2BiPd
1.0
-5.030 0.988 0.163
-0.487 -1.679 -4.822
-0.930 -5.036 1.847
Y Bi Pd In
1 1 1 2
Direct
0.000 0.000 0.500 Y
0.500 0.500 0.500 Bi
0.000 0.000 0.000 Pd
0.000 0.500 0.000 In
0.500 0.000 0.000 In
```

DFT formation energy	-344	meV/atom
space-group type	P4/mmm

This record from Alexandria via LeMat-Bulk describes PaB2H after structural relaxation. The functional is GGA-PBE.

The structure in POSCAR format:
```
PaB2H
1.0
-3.133 1.960 -0.891
0.116 -2.166 -5.171
-4.815 -6.507 2.618
Pa B H
4 8 4
Direct
0.750 0.271 0.377 Pa
0.250 0.729 0.623 Pa
0.750 0.771 0.123 Pa
0.250 0.229 0.877 Pa
0.250 0.918 0.320 B
0.750 0.082 0.680 B
0.250 0.418 0.180 B
0.750 0.582 0.820 B
0.250 0.114 0.174 B
0.750 0.886 0.826 B
0.250 0.614 0.326 B
0.750 0.386 0.674 B
0.750 0.461 0.953 H
0.250 0.539 0.047 H
0.750 0.961 0.547 H
0.250 0.039 0.453 H
```

DFT total energy	-0.507	Ry/atom
space-group type	Pnma

This record from Alexandria via LeMat-Bulk describes CsRb2CdB after structural relaxation. The functional is GGA-PBE.

The structure in POSCAR format:
```
CsRb2CdB
1.0
6.953 0.000 0.000
0.000 4.496 0.000
0.000 0.000 6.953
Cs B Rb Cd
1 1 2 1
Direct
0.500 0.500 0.500 Cs
0.000 0.000 0.000 B
0.000 0.000 0.500 Rb
0.500 0.000 0.000 Rb
0.000 0.500 0.000 Cd
```

DFT formation energy	571	meV/atom
space-group type	P4/mmm

Copy entry 3 word for word.
This record from Alexandria via LeMat-Bulk describes Hf8In2Sn3 after structural relaxation. The functional is GGA-PBE.

The structure in POSCAR format:
```
Hf8In2Sn3
1.0
-0.739 5.415 2.023
-4.667 1.287 3.244
3.628 -0.322 10.582
Hf In Sn
8 2 3
Direct
0.723 0.723 0.830 Hf
0.277 0.277 0.170 Hf
0.225 0.720 0.335 Hf
0.720 0.225 0.335 Hf
0.720 0.720 0.335 Hf
0.280 0.775 0.665 Hf
0.775 0.280 0.665 Hf
0.280 0.280 0.665 Hf
0.633 0.633 0.101 In
0.367 0.367 0.899 In
0.000 0.000 0.000 Sn
0.811 0.811 0.568 Sn
0.189 0.189 0.432 Sn
```

DFT formation energy	119	meV/atom
space-group type	R-3m